Run one
Computed, not measured: Ba2SrAc after structural relaxation at the PBE level of DFT.

The space group is R-3m (No. 166, hexagonal axes) and the conventional cell measures 4.1311, 4.1311 and 45.1304 Å, with angles of 90.00, 90.00 and 120.00 degrees. The asymmetric unit holds Ba at (0.0000, 0.0000, 0.0865), Sr at (0.0000, 0.0000, 0.5000) and Ac at (0.0000, 0.0000, 0.0000).

For the total moment, the calculation gives 1.21 Bohr magnetons per cell. For the calculated volume, the calculation gives 667.01 Å³ per cell.

Run two
Computed, not measured: Ba2SrAc after structural relaxation at the PBE level of DFT.

The space group is P4/mmm (No. 123) and the conventional cell measures 4.203, 4.203 and 12.393 Å, with angles of 90.00, 90.00 and 90.00 degrees. The asymmetric unit holds Ba at (0.000, 0.000, 0.238), Sr at (0.500, 0.500, 0.500) and Ac at (0.500, 0.500, 0.000).

For the total moment, the calculation gives 0.00 Bohr magnetons per cell. For the calculated volume, the calculation gives 218.92 Å³ per cell.

Run three
Computed, not measured: Ba2SrAc after structural relaxation at the PBE level of DFT.

The space group is Cmmm (No. 65) and the conventional cell measures 4.706, 6.775 and 13.700 Å, with angles of 90.00, 90.00 and 90.00 degrees. The asymmetric unit holds Ba at (0.000, 0.000, 0.243), Sr at (0.000, 0.500, 0.500) and Ac at (0.000, 0.500, 0.000).

For the total moment, the calculation gives 0.00 Bohr magnetons per cell. For the calculated volume, the calculation gives 436.74 Å³ per cell.

Energy comparison, zero being the most stable, in kJ/mol of atoms: run one 15.1; run two 0.0; run three 1.0.

Run one
Computed, not measured: BaAcTb after structural relaxation at the PBE level of DFT.

The space group is P4/nmm (No. 129, origin choice 2) and the conventional cell measures 4.261, 4.261 and 15.277 Å, with angles of 90.00, 90.00 and 90.00 degrees. The asymmetric unit holds Ba at (0.250, 0.250, 0.112), Ac at (0.250, 0.250, 0.695) and Tb at (0.250, 0.250, 0.446).

For the total moment, the calculation gives 0.00 Bohr magnetons per cell. For the calculated volume, the calculation gives 277.32 Å³ per cell.

Run two
Computed, not measured: BaAcTb after structural relaxation at the PBE level of DFT.

The space group is I4mm (No. 107) and the conventional cell measures 3.964, 3.964 and 16.935 Å, with angles of 90.00, 90.00 and 90.00 degrees. The asymmetric unit holds Ba at (0.000, 0.000, 0.000), Ac at (0.000, 0.000, 0.312) and Tb at (0.000, 0.000, 0.672).

For the total moment, the calculation gives 0.00 Bohr magnetons per cell. For the calculated volume, the calculation gives 266.06 Å³ per cell.

Run three
Computed, not measured: BaAcTb after structural relaxation at the PBE level of DFT.

The space group is P3m1 (No. 156) and the conventional cell measures 3.9454, 3.9454 and 9.7417 Å, with angles of 90.00, 90.00 and 120.00 degrees. The asymmetric unit holds Ba at (0.0000, 0.0000, 0.0000), Ac at (0.3333, 0.6667, 0.6316) and Tb at (0.6667, 0.3333, 0.3347).

For the total moment, the calculation gives 0.00 Bohr magnetons per cell. For the calculated volume, the calculation gives 131.33 Å³ per cell.

Energy comparison, zero being the most stable, in kJ/mol of atoms: run one 0.0; run two 6.1; run three 7.3.